(1)
CsMoCl2 | GGA-PBE | relaxed

Computed properties:
E_form (uncorrected) in eV/f.u.: -0.32
E above lowest polymorph in meV per atom: 339

Structure (CIF):
```
data_CsMoCl2
_cell_length_a 7.794
_cell_length_b 7.794
_cell_length_c 7.794
_cell_angle_alpha 90.00
_cell_angle_beta 90.00
_cell_angle_gamma 90.00
_space_group_name_H-M_alt 'F m -3 m'
_space_group_IT_number 225
_space_group_name_Hall '-F 4 2 3'
loop_
_atom_site_label
_atom_site_type_symbol
_atom_site_fract_x
_atom_site_fract_y
_atom_site_fract_z
Cs1 Cs 0.000 0.000 0.000
Mo1 Mo 0.000 0.000 0.500
Cl1 Cl 0.250 0.250 0.250
```

(2)
BaSbTe2C | GGA-PBE | relaxed

Computed properties:
E_form (uncorrected) in eV/f.u.: 9.42
E above lowest polymorph in meV per atom: 1604

Structure (CIF):
```
data_BaSbTe2C
_cell_length_a 6.726
_cell_length_b 6.726
_cell_length_c 6.778
_cell_angle_alpha 90.00
_cell_angle_beta 90.00
_cell_angle_gamma 90.00
_space_group_name_H-M_alt 'P 4/m m m'
_space_group_IT_number 123
_space_group_name_Hall '-P 4 2'
loop_
_atom_site_label
_atom_site_type_symbol
_atom_site_fract_x
_atom_site_fract_y
_atom_site_fract_z
Ba1 Ba 0.000 0.000 0.000
Sb1 Sb 0.000 0.000 0.500
Te1 Te 0.000 0.500 0.000
C1 C 0.500 0.500 0.500
```

(3)
KTaBeN2 | GGA-PBE | relaxed

Computed properties:
E_form (uncorrected) in eV/f.u.: 9.79

Structure (CIF):
```
data_KTaBeN2
_cell_length_a 3.954
_cell_length_b 3.954
_cell_length_c 4.245
_cell_angle_alpha 90.00
_cell_angle_beta 90.00
_cell_angle_gamma 90.00
_space_group_name_H-M_alt 'P 4/m m m'
_space_group_IT_number 123
_space_group_name_Hall '-P 4 2'
loop_
_atom_site_label
_atom_site_type_symbol
_atom_site_fract_x
_atom_site_fract_y
_atom_site_fract_z
K1 K 0.000 0.000 0.000
Ta1 Ta 0.500 0.500 0.000
Be1 Be 0.500 0.500 0.500
N1 N 0.000 0.500 0.500
```

(4)
LaErAl2Au4 | GGA-PBE | relaxed

Computed properties:
DFT formation energy in eV/atom: -0.711

Structure (CIF):
```
data_LaErAl2Au4
_cell_length_a 4.5858
_cell_length_b 4.5858
_cell_length_c 28.1273
_cell_angle_alpha 90.00
_cell_angle_beta 90.00
_cell_angle_gamma 120.00
_space_group_name_H-M_alt 'R -3 m'
_space_group_IT_number 166
_space_group_name_Hall '-R 3 2"'
loop_
_atom_site_label
_atom_site_type_symbol
_atom_site_fract_x
_atom_site_fract_y
_atom_site_fract_z
La1 La 0.0000 0.0000 0.0000
Er1 Er 0.0000 0.0000 0.5000
Al1 Al 0.0000 0.0000 0.2415
Au1 Au 0.0000 0.0000 0.1170
Au2 Au 0.0000 0.0000 0.3947
```

(5)
Na3Cu2Br2Cl4 | GGA-PBE | relaxed

Computed properties:
E_form (uncorrected) in eV/f.u.: -11.82

Structure (CIF):
```
data_Na3Cu2Br2Cl4
_cell_length_a 4.629
_cell_length_b 4.629
_cell_length_c 24.784
_cell_angle_alpha 90.00
_cell_angle_beta 90.00
_cell_angle_gamma 90.00
_space_group_name_H-M_alt 'I 4/m m m'
_space_group_IT_number 139
_space_group_name_Hall '-I 4 2'
loop_
_atom_site_label
_atom_site_type_symbol
_atom_site_fract_x
_atom_site_fract_y
_atom_site_fract_z
Na1 Na 0.000 0.000 0.000
Na2 Na 0.000 0.000 0.182
Cu1 Cu 0.000 0.000 0.407
Br1 Br 0.000 0.000 0.302
Cl1 Cl 0.000 0.500 0.075
```

(6)
PmBe2BRu2 | GGA-PBE | relaxed

Computed properties:
DFT formation energy in eV/atom: -0.381

Structure (CIF):
```
data_PmBe2BRu2
_cell_length_a 4.115
_cell_length_b 4.115
_cell_length_c 5.234
_cell_angle_alpha 90.00
_cell_angle_beta 90.00
_cell_angle_gamma 90.00
_space_group_name_H-M_alt 'P 4/m m m'
_space_group_IT_number 123
_space_group_name_Hall '-P 4 2'
loop_
_atom_site_label
_atom_site_type_symbol
_atom_site_fract_x
_atom_site_fract_y
_atom_site_fract_z
Pm1 Pm 0.000 0.000 0.000
Be1 Be 0.500 0.500 0.278
B1 B 0.000 0.000 0.500
Ru1 Ru 0.000 0.500 0.500
```

(7)
Pr6ZnTc2Br3 | GGA-PBE | relaxed

Computed properties:
E_form (uncorrected) in eV/f.u.: -6.97

Structure (CIF):
```
data_Pr6ZnTc2Br3
_cell_length_a 7.118
_cell_length_b 12.517
_cell_length_c 8.405
_cell_angle_alpha 90.00
_cell_angle_beta 106.63
_cell_angle_gamma 90.00
_space_group_name_H-M_alt 'C 1 2/m 1'
_space_group_IT_number 12
loop_
_space_group_symop_operation_xyz
'x,y,z'
'-x,-y,-z'
'-x,y,-z'
'x,-y,z'
'x+1/2,y+1/2,z'
'-x+1/2,-y+1/2,-z'
'-x+1/2,y+1/2,-z'
'x+1/2,-y+1/2,z'
loop_
_atom_site_label
_atom_site_type_symbol
_atom_site_fract_x
_atom_site_fract_y
_atom_site_fract_z
Pr1 Pr 0.204 0.000 0.197
Pr2 Pr 0.244 0.323 0.210
Zn1 Zn 0.000 0.500 0.000
Tc1 Tc 0.000 0.172 0.000
Br1 Br 0.000 0.000 0.500
Br2 Br 0.000 0.332 0.500
```

(8)
Ca2P2Pb | GGA-PBE | relaxed

Computed properties:
DFT formation energy in eV/atom: -0.488
E above lowest polymorph in meV per atom: 202

Structure (CIF):
```
data_Ca2P2Pb
_cell_length_a 5.001
_cell_length_b 5.001
_cell_length_c 10.291
_cell_angle_alpha 90.00
_cell_angle_beta 90.00
_cell_angle_gamma 90.00
_space_group_name_H-M_alt 'I 4/m m m'
_space_group_IT_number 139
_space_group_name_Hall '-I 4 2'
loop_
_atom_site_label
_atom_site_type_symbol
_atom_site_fract_x
_atom_site_fract_y
_atom_site_fract_z
Ca1 Ca 0.000 0.500 0.250
P1 P 0.000 0.000 0.107
Pb1 Pb 0.000 0.000 0.500
```

(9)
Si4TcOs | GGA-PBE | relaxed

Computed properties:
E_form (uncorrected) in eV/f.u.: -0.22
E above lowest polymorph in meV per atom: 0

Structure (CIF):
```
data_Si4TcOs
_cell_length_a 5.786
_cell_length_b 2.989
_cell_length_c 6.285
_cell_angle_alpha 90.00
_cell_angle_beta 90.31
_cell_angle_gamma 90.00
_space_group_name_H-M_alt 'P 1 2/m 1'
_space_group_IT_number 10
loop_
_space_group_symop_operation_xyz
'x,y,z'
'-x,-y,-z'
'-x,y,-z'
'x,-y,z'
loop_
_atom_site_label
_atom_site_type_symbol
_atom_site_fract_x
_atom_site_fract_y
_atom_site_fract_z
Si1 Si 0.217 0.000 0.224
Si2 Si 0.280 0.500 0.715
Tc1 Tc 0.000 0.500 0.000
Os1 Os 0.500 0.000 0.500
```

(10)
NaLa2Tl2 | GGA-PBE | relaxed

Computed properties:
DFT formation energy in eV/atom: -0.260
E above lowest polymorph in meV per atom: 0

Structure (CIF):
```
data_NaLa2Tl2
_cell_length_a 9.196
_cell_length_b 9.196
_cell_length_c 3.932
_cell_angle_alpha 90.00
_cell_angle_beta 90.00
_cell_angle_gamma 90.00
_space_group_name_H-M_alt 'P 4/m b m'
_space_group_IT_number 127
_space_group_name_Hall '-P 4 2ab'
loop_
_atom_site_label
_atom_site_type_symbol
_atom_site_fract_x
_atom_site_fract_y
_atom_site_fract_z
Na1 Na 0.000 0.000 0.000
La1 La 0.171 0.329 0.500
Tl1 Tl 0.127 0.627 0.000
```

(11)
LiHoBi2 | GGA-PBE | relaxed

Computed properties:
DFT formation energy in eV/atom: -0.455
E above lowest polymorph in meV per atom: 128

Structure (CIF):
```
data_LiHoBi2
_cell_length_a 4.6820
_cell_length_b 4.6820
_cell_length_c 19.1395
_cell_angle_alpha 90.00
_cell_angle_beta 90.00
_cell_angle_gamma 120.00
_space_group_name_H-M_alt 'R 3 m'
_space_group_IT_number 160
_space_group_name_Hall 'R 3 -2"'
loop_
_atom_site_label
_atom_site_type_symbol
_atom_site_fract_x
_atom_site_fract_y
_atom_site_fract_z
Li1 Li 0.0000 0.0000 0.0000
Ho1 Ho 0.0000 0.0000 0.1801
Bi1 Bi 0.0000 0.0000 0.5971
Bi2 Bi 0.0000 0.0000 0.7594
```

(12)
Ba2SeBr | GGA-PBE | relaxed

Computed properties:
E_form (uncorrected) in eV/f.u.: -6.69
E above lowest polymorph in meV per atom: 170

Structure (CIF):
```
data_Ba2SeBr
_cell_length_a 8.024
_cell_length_b 8.024
_cell_length_c 8.024
_cell_angle_alpha 90.00
_cell_angle_beta 90.00
_cell_angle_gamma 90.00
_space_group_name_H-M_alt 'F m -3 m'
_space_group_IT_number 225
_space_group_name_Hall '-F 4 2 3'
loop_
_atom_site_label
_atom_site_type_symbol
_atom_site_fract_x
_atom_site_fract_y
_atom_site_fract_z
Ba1 Ba 0.250 0.250 0.250
Se1 Se 0.000 0.000 0.000
Br1 Br 0.000 0.000 0.500
```

(13)
CrSiAuS | GGA-PBE | relaxed

Computed properties:
E_form (uncorrected) in eV/f.u.: -0.79
E above lowest polymorph in meV per atom: 44

Structure (CIF):
```
data_CrSiAuS
_cell_length_a 5.352
_cell_length_b 2.910
_cell_length_c 8.304
_cell_angle_alpha 90.00
_cell_angle_beta 107.74
_cell_angle_gamma 90.00
_space_group_name_H-M_alt 'C 1 m 1'
_space_group_IT_number 8
loop_
_space_group_symop_operation_xyz
'x,y,z'
'x,-y,z'
'x+1/2,y+1/2,z'
'x+1/2,-y+1/2,z'
loop_
_atom_site_label
_atom_site_type_symbol
_atom_site_fract_x
_atom_site_fract_y
_atom_site_fract_z
Cr1 Cr 0.000 0.000 0.000
Si1 Si 0.208 0.000 0.774
Au1 Au 0.063 0.500 0.506
S1 S 0.413 0.000 0.179
```